Density functional theory data (GGA-PBEsol) for a relaxed Li2MnPF crystal. Values from VASP.

Calculated values
V = 69.9 Å³ per cell
formation energy without anion corrections = -872 meV per atom
space-group type = P4/mmm (123)

Quantum ESPRESSO input file:
```
&SYSTEM
  ibrav = 0, nat = 5, ntyp = 4
/
ATOMIC_SPECIES
P 30.97 P.upf
Mn 54.94 Mn.upf
Li 6.94 Li.upf
F 19.00 F.upf
ATOMIC_POSITIONS angstrom
P 0.4452 -1.4168 2.4654
Mn -1.2951 -0.0595 3.5596
Li -1.7208 -0.1513 0.2238
Li -0.0195 1.5086 0.8705
F 0.0000 0.0000 0.0000
CELL_PARAMETERS angstrom
-0.0390 3.0173 1.7410
-3.4416 -0.3027 0.4476
0.8904 -2.8336 4.9307
```